A geometry-optimized Pm2PuCrO8 structure. Source: Alexandria via LeMat-Bulk, functional PBE+U.

Calculated values
magnetic moment: 4.0 μB per formula unit
uncorrected energy: -8.502 eV per atom

```
data_Pm2PuCrO8
_symmetry_space_group_name_H-M 'P 1'
_symmetry_Int_Tables_number 1
_cell_length_a 5.105
_cell_length_b 5.105
_cell_length_c 6.800
_cell_angle_alpha 90.00
_cell_angle_beta 90.00
_cell_angle_gamma 92.58
loop_
_symmetry_equiv_pos_as_xyz
'x,y,z'
loop_
_atom_site_label
_atom_site_type_symbol
_atom_site_fract_x
_atom_site_fract_y
_atom_site_fract_z
Pm1 Pm 0.005 0.005 0.263
Pm2 Pm 0.995 0.995 0.737
Pu1 Pu 0.500 0.500 0.000
Cr1 Cr 0.500 0.500 0.500
O1 O 0.220 0.220 0.504
O2 O 0.220 0.220 0.997
O3 O 0.324 0.671 0.238
O4 O 0.329 0.676 0.762
O5 O 0.671 0.324 0.238
O6 O 0.676 0.329 0.762
O7 O 0.780 0.780 0.003
O8 O 0.780 0.780 0.496
```